Entry 1:
Computed, not measured: crystalline LiSc2Cr at its relaxed geometry at the GGA-PBEsol level of DFT.

Summary:
Energy of formation   0.452 eV/atom
DFT total energy   -94.4 eV per cell

```
data_LiSc2Cr
_chemical_formula_sum 'Li4 Sc8 Cr4'
_symmetry_space_group_name_H-M 'F -4 3 m'
_symmetry_Int_Tables_number 216
_symmetry_space_group_name_Hall 'F -4 2 3'
_cell_length_a 6.7031
_cell_length_b 6.7031
_cell_length_c 6.7031
_cell_angle_alpha 90.00
_cell_angle_beta 90.00
_cell_angle_gamma 90.00
loop_
_atom_site_label
_atom_site_fract_x
_atom_site_fract_y
_atom_site_fract_z
Li1 0.0000 0.0000 0.0000
Sc1 0.0000 0.0000 0.5000
Sc2 0.2500 0.2500 0.7500
Cr1 0.2500 0.2500 0.2500
```


Entry 2:
Computed, not measured: crystalline Li2ScCr at its relaxed geometry at the GGA-PBEsol level of DFT.

Summary:
Energy above the most stable polymorph in this dataset   0.28 eV/f.u.
Energy of formation   0.482 eV/atom
DFT total energy   -37.7 eV per cell

```
data_Li2ScCr
_chemical_formula_sum 'Li4 Sc2 Cr2'
_symmetry_space_group_name_H-M 'C 1 2/m 1'
_symmetry_Int_Tables_number 12
_cell_length_a 5.3957
_cell_length_b 10.1361
_cell_length_c 2.9753
_cell_angle_alpha 90.00
_cell_angle_beta 117.01
_cell_angle_gamma 90.00
loop_
_symmetry_equiv_pos_as_xyz
'x,y,z'
'-x,-y,-z'
'-x,y,-z'
'x,-y,z'
'x+1/2,y+1/2,z'
'-x+1/2,-y+1/2,-z'
'-x+1/2,y+1/2,-z'
'x+1/2,-y+1/2,z'
loop_
_atom_site_label
_atom_site_fract_x
_atom_site_fract_y
_atom_site_fract_z
Li1 0.2500 0.2500 0.0000
Sc1 0.0000 0.0000 0.5000
Cr1 0.0000 0.5000 0.5000
```


Entry 3:
Computed, not measured: crystalline Li2ScCr at its relaxed geometry at the GGA-PBEsol level of DFT.

Summary:
Energy above the most stable polymorph in this dataset   0.62 eV/f.u.
Energy of formation   0.566 eV/atom
DFT total energy   -18.5 eV per cell

```
data_Li2ScCr
_chemical_formula_sum 'Li2 Sc1 Cr1'
_symmetry_space_group_name_H-M 'P 4/m m m'
_symmetry_Int_Tables_number 123
_symmetry_space_group_name_Hall '-P 4 2'
_cell_length_a 3.4214
_cell_length_b 3.4214
_cell_length_c 6.0316
_cell_angle_alpha 90.00
_cell_angle_beta 90.00
_cell_angle_gamma 90.00
loop_
_atom_site_label
_atom_site_fract_x
_atom_site_fract_y
_atom_site_fract_z
Li1 0.0000 0.0000 0.2195
Sc1 0.5000 0.5000 0.5000
Cr1 0.5000 0.5000 0.0000
```


Entry 4:
Computed, not measured: crystalline LiSc2Cr at its relaxed geometry at the GGA-PBEsol level of DFT.

Summary:
Energy of formation   0.434 eV/atom
DFT total energy   -47.4 eV per cell

```
data_LiSc2Cr
_chemical_formula_sum 'Li2 Sc4 Cr2'
_symmetry_space_group_name_H-M 'C 1 2/m 1'
_symmetry_Int_Tables_number 12
_cell_length_a 9.1721
_cell_length_b 3.0969
_cell_length_c 5.5887
_cell_angle_alpha 90.00
_cell_angle_beta 99.99
_cell_angle_gamma 90.00
loop_
_symmetry_equiv_pos_as_xyz
'x,y,z'
'-x,-y,-z'
'-x,y,-z'
'x,-y,z'
'x+1/2,y+1/2,z'
'-x+1/2,-y+1/2,-z'
'-x+1/2,y+1/2,-z'
'x+1/2,-y+1/2,z'
loop_
_atom_site_label
_atom_site_fract_x
_atom_site_fract_y
_atom_site_fract_z
Li1 0.0000 0.0000 0.0000
Sc1 0.2443 0.0000 0.7295
Cr1 0.0000 0.5000 0.5000
```